1.
# K2PuSnI6 | the Alexandria database | PBE | optimized geometry
# crystal system = monoclinic
# volume = 928.8 Å³ per cell
# electronic total energy = -40.0 eV/f.u.
# M_tot = 12.0 μB per cell
# raw formation energy = -10.2 eV per formula unit
data_K2PuSnI6
_chemical_formula_sum 'K4 Pu2 Sn2 I12'
_cell_length_a 14.867
_cell_length_b 8.862
_cell_length_c 8.643
_cell_angle_alpha 90.00
_cell_angle_beta 125.35
_cell_angle_gamma 90.00
_symmetry_space_group_name_H-M 'C 1 2/m 1'
_symmetry_Int_Tables_number 12
_symmetry_space_group_name_Hall '-C 2y'
loop_
_atom_site_label
_atom_site_type_symbol
_atom_site_fract_x
_atom_site_fract_y
_atom_site_fract_z
K1 K 0.249 0.000 0.214
Pu1 Pu 0.000 0.500 0.000
Sn1 Sn 0.000 0.000 0.500
I1 I 0.068 0.251 0.819
I2 I 0.248 0.500 0.373

2.
# Pm2PrY3Se6 | the Alexandria database | PBE | optimized geometry
# crystal system = monoclinic
# volume = 607.6 Å³ per cell
# electronic total energy = -76.3 eV/f.u.
# M_tot = 0.0 μB per cell
# raw formation energy = -21.7 eV per formula unit
data_Pm2PrY3Se6
_chemical_formula_sum 'Pm4 Pr2 Y6 Se12'
_cell_length_a 7.133
_cell_length_b 12.426
_cell_length_c 7.261
_cell_angle_alpha 90.00
_cell_angle_beta 109.24
_cell_angle_gamma 90.00
_symmetry_space_group_name_H-M 'C 1 2/m 1'
_symmetry_Int_Tables_number 12
_symmetry_space_group_name_Hall '-C 2y'
loop_
_atom_site_label
_atom_site_type_symbol
_atom_site_fract_x
_atom_site_fract_y
_atom_site_fract_z
Pm1 Pm 0.000 0.166 0.000
Pr1 Pr 0.000 0.500 0.000
Y1 Y 0.000 0.000 0.500
Y2 Y 0.000 0.335 0.500
Se1 Se 0.244 0.169 0.737
Se2 Se 0.250 0.000 0.261

3.
# NaB2N | the Alexandria database | PBE | optimized geometry
# crystal system = tetragonal
# volume = 137.7 Å³ per cell
# electronic total energy = -19.2 eV/f.u.
# M_tot = 0.0 μB per cell
# raw formation energy = 3.8 eV per formula unit
data_NaB2N
_chemical_formula_sum 'Na4 B8 N4'
_cell_length_a 5.608
_cell_length_b 5.608
_cell_length_c 4.378
_cell_angle_alpha 90.00
_cell_angle_beta 90.00
_cell_angle_gamma 90.00
_symmetry_space_group_name_H-M 'I -4 2 d'
_symmetry_Int_Tables_number 122
_symmetry_space_group_name_Hall 'I -4 2bw'
loop_
_atom_site_label
_atom_site_type_symbol
_atom_site_fract_x
_atom_site_fract_y
_atom_site_fract_z
Na1 Na 0.000 0.000 0.000
B1 B 0.146 0.250 0.625
N1 N 0.000 0.000 0.500